This record from OQMD via LeMat-Bulk describes a geometry-optimized Rb2LiHfI6 structure. The functional is GGA-PBE.

abc: 11.7184 11.7184 11.7184
angles: 90.00 90.00 90.00
With the nearest neighbours (Å) after each atom.
Space group Fm-3m (No. 225)
One atom of each set of equivalent atoms:
Rb: 0.2500 0.2500 0.2500 (multiplicity 8)  12 I 4.14
Li: 0.0000 0.0000 0.0000 (multiplicity 4)  6 I 2.97
Hf: 0.0000 0.0000 0.5000 (multiplicity 4)  6 I 2.89
I: 0.0000 0.0000 0.2533 (multiplicity 24)  1 Hf 2.89, 1 Li 2.97

Calculated values
ρ ... 4.61 Mg/m³
Size of the total moment ... 4.0 μB per cell
Electronic total energy ... -3.40 eV per atom